--- i ---
Below is a relaxed Pm2Nd3Sm8 crystal, with properties calculated at the GGA-PBE level.

Output
Crystal system: monoclinic

a = 6.9009 Å, b = 9.2433 Å, c = 8.7944 Å
α = 121.70°, β = 98.13°, γ = 90.00°
Positions (direct):
Pm  0.2864  0.2004  0.4009
Pm  0.7136  0.7996  0.5991
Nd  0.5000  0.0000  0.0000
Nd  0.0000  0.1705  0.0000
Nd  0.0000  0.8295  0.0000
Sm  0.8710  0.5835  0.1669
Sm  0.1290  0.4165  0.8331
Sm  0.7972  0.2113  0.4225
Sm  0.2028  0.7887  0.5775
Sm  0.5649  0.5649  0.7701
Sm  0.5649  0.2052  0.7701
Sm  0.4351  0.7948  0.2299
Sm  0.4351  0.4351  0.2299

--- ii ---
Below is a relaxed Pm2Nd3Sm8 crystal, with properties calculated at the GGA-PBE level.

Output
Crystal system: monoclinic

a = 6.2353 Å, b = 11.8447 Å, c = 8.8971 Å
α = 131.73°, β = 72.64°, γ = 90.00°
Positions (direct):
Pm  0.6490  0.7105  0.4209
Pm  0.3510  0.2895  0.5791
Nd  0.5000  0.0000  0.0000
Nd  0.0000  0.2410  0.0000
Nd  0.0000  0.7590  0.0000
Sm  0.7796  0.4443  0.8886
Sm  0.2204  0.5557  0.1114
Sm  0.0504  0.8434  0.6868
Sm  0.9496  0.1566  0.3132
Sm  0.3237  0.9170  0.3465
Sm  0.3237  0.4295  0.3465
Sm  0.6763  0.5705  0.6535
Sm  0.6763  0.0830  0.6535

Pick ii: it beats the second-best structure by 94 meV per atom.